(1)
! La4PrErTm2 (PBE-GGA, optimized geometry); values from VASP
&SYSTEM
  ibrav = 0, nat = 8, ntyp = 4
/
ATOMIC_SPECIES
La 138.91 La.upf
Pr 140.91 Pr.upf
Er 167.26 Er.upf
Tm 168.93 Tm.upf
CELL_PARAMETERS angstrom
5.962 0.000 0.000
0.000 5.962 0.000
0.000 0.000 7.776
ATOMIC_POSITIONS crystal
La 0.000 0.500 0.239
La 0.000 0.500 0.761
La 0.500 0.000 0.239
La 0.500 0.000 0.761
Pr 0.000 0.000 0.500
Er 0.500 0.500 0.500
Tm 0.000 0.000 0.000
Tm 0.500 0.500 0.000
! Uncorrected energy ... -37.35 eV/cell
! Energy of formation from the pure elements ... 7.73 kJ per mole of atoms



(2)
! SmMg2Pd (PBE-GGA, optimized geometry); values from VASP
&SYSTEM
  ibrav = 0, nat = 4, ntyp = 3
/
ATOMIC_SPECIES
Sm 150.36 Sm.upf
Mg 24.30 Mg.upf
Pd 106.42 Pd.upf
CELL_PARAMETERS angstrom
3.327 0.000 0.000
0.000 3.327 0.000
0.000 0.000 7.943
ATOMIC_POSITIONS crystal
Sm 0.000 0.000 0.000
Mg 0.500 0.500 0.314
Mg 0.500 0.500 0.686
Pd 0.000 0.000 0.500
! Uncorrected energy ... -14.60 eV/cell
! Energy of formation from the pure elements ... -36.09 kJ per mole of atoms



(3)
! LuCoB4 (PBE-GGA, optimized geometry); values from VASP
&SYSTEM
  ibrav = 0, nat = 24, ntyp = 3
/
ATOMIC_SPECIES
Lu 174.97 Lu.upf
Co 58.93 Co.upf
B 10.81 B.upf
CELL_PARAMETERS angstrom
5.838 0.000 0.000
0.000 11.299 0.000
0.000 0.000 3.321
ATOMIC_POSITIONS crystal
Lu 0.129 0.150 0.000
Lu 0.371 0.650 0.000
Lu 0.629 0.350 0.000
Lu 0.871 0.850 0.000
Co 0.136 0.410 0.000
Co 0.364 0.910 0.000
Co 0.636 0.090 0.000
Co 0.864 0.590 0.000
B 0.022 0.692 0.500
B 0.112 0.547 0.500
B 0.137 0.968 0.500
B 0.215 0.815 0.500
B 0.285 0.315 0.500
B 0.363 0.468 0.500
B 0.388 0.047 0.500
B 0.478 0.192 0.500
B 0.522 0.808 0.500
B 0.612 0.953 0.500
B 0.637 0.532 0.500
B 0.715 0.685 0.500
B 0.785 0.185 0.500
B 0.863 0.032 0.500
B 0.888 0.453 0.500
B 0.978 0.308 0.500
! Uncorrected energy ... -168.54 eV/cell
! Energy of formation from the pure elements ... -61.10 kJ per mole of atoms